# 1
VASP calculation (PBE) on Er4Tl3Ga after structural relaxation.

Structure (CIF):
```
data_Er4Tl3Ga
_cell_length_a 3.6367
_cell_length_b 3.6367
_cell_length_c 15.4731
_cell_angle_alpha 90.00
_cell_angle_beta 90.00
_cell_angle_gamma 90.00
_symmetry_space_group_name_H-M 'P 1'
_symmetry_Int_Tables_number 1
_symmetry_space_group_name_Hall 'P 1'
loop_
_atom_site_label
_atom_site_fract_x
_atom_site_fract_y
_atom_site_fract_z
_atom_site_occupancy
Tl1 0.5000 0.5000 0.2419 1
Tl2 0.5000 0.5000 0.5000 1
Tl3 0.5000 0.5000 0.7581 1
Ga1 0.5000 0.5000 0.0000 1
Er1 0.0000 0.0000 0.8886 1
Er2 0.0000 0.0000 0.1114 1
Er3 0.0000 0.0000 0.3700 1
Er4 0.0000 0.0000 0.6300 1
```

Output
As for the density of states at the Fermi level: 0.526 states/eV per atom. For the energy above the most stable polymorph in this dataset, the calculation gives 0 meV per atom. The calculation puts the formation energy at -0.38 eV per atom. The value obtained for the total DFT energy (no corrections) is -3.923 eV per atom.

***

# 2
VASP calculation (PBE) on Er6TlGa2 after structural relaxation.

Structure (CIF):
```
data_Er6TlGa2
_cell_length_a 8.5697
_cell_length_b 8.5697
_cell_length_c 8.5697
_cell_angle_alpha 104.45
_cell_angle_beta 112.02
_cell_angle_gamma 112.06
_symmetry_space_group_name_H-M 'P 1'
_symmetry_Int_Tables_number 1
_symmetry_space_group_name_Hall 'P 1'
loop_
_atom_site_label
_atom_site_fract_x
_atom_site_fract_y
_atom_site_fract_z
_atom_site_occupancy
Er1 0.5385 0.7222 0.8162 1
Er2 0.4615 0.2777 0.1838 1
Er3 0.0940 0.2778 0.8162 1
Er4 0.9060 0.7223 0.1838 1
Er5 0.7968 0.7587 0.5555 1
Er6 0.2032 0.2413 0.4445 1
Er7 0.2032 0.7587 0.9618 1
Er8 0.7968 0.2413 0.0382 1
Er9 0.7026 0.3816 0.6789 1
Er10 0.2974 0.6184 0.3211 1
Er11 0.2974 0.9763 0.6789 1
Er12 0.7026 0.0237 0.3211 1
Tl1 0.0000 0.5000 0.5000 1
Tl2 0.0000 0.0000 0.0000 1
Ga1 0.5000 0.3789 0.8789 1
Ga2 0.5000 0.6211 0.1211 1
Ga3 0.6471 0.0000 0.6471 1
Ga4 0.3529 0.0000 0.3529 1
```

Output
As for the density of states at the Fermi level: 0.633 states/eV per atom. The calculation puts the formation energy at -0.40 eV per atom. The value obtained for the total DFT energy (no corrections) is -4.376 eV per atom.

***

> The lowest total DFT energy (no corrections) belongs to which entry?

Er6TlGa2

***

> The highest total DFT energy (no corrections) belongs to which entry?

Er4Tl3Ga

***

> Which of these has the lowest total DFT energy (no corrections)?

Er6TlGa2